Record 1
First-principles (PBE) data for crystalline NpCo4Pb at its relaxed geometry, as listed in Alexandria via LeMat-Bulk.

Computed properties:
**Calculated total energy**: -44.506 eV per formula unit
**Space-group type**: F-43m, No. 216

Structure (CIF):
```
data_NpCo4Pb
_space_group_name_H-M_alt 'P 1'
_space_group_IT_number 1
_space_group_name_Hall 'P 1'
_cell_length_a 5.0188
_cell_length_b 5.0188
_cell_length_c 5.0188
_cell_angle_alpha 60.00
_cell_angle_beta 60.00
_cell_angle_gamma 60.00
loop_
_atom_site_label
_atom_site_fract_x
_atom_site_fract_y
_atom_site_fract_z
Np1 0.0000 0.0000 0.0000
Co1 0.1273 0.6242 0.6242
Co2 0.6242 0.1273 0.6242
Co3 0.6242 0.6242 0.1273
Co4 0.6242 0.6242 0.6242
Pb1 0.2500 0.2500 0.2500
```

Record 2
First-principles (PBE) data for crystalline NpCo2Pd at its relaxed geometry, as listed in Alexandria via LeMat-Bulk.

Computed properties:
**Calculated total energy**: -32.613 eV per formula unit
**Space-group type**: P4/mmm, No. 123

Structure (CIF):
```
data_NpCo2Pd
_space_group_name_H-M_alt 'P 1'
_space_group_IT_number 1
_space_group_name_Hall 'P 1'
_cell_length_a 4.0309
_cell_length_b 4.0309
_cell_length_c 3.6547
_cell_angle_alpha 90.00
_cell_angle_beta 90.00
_cell_angle_gamma 90.00
loop_
_atom_site_label
_atom_site_fract_x
_atom_site_fract_y
_atom_site_fract_z
Np1 0.0000 0.0000 0.0000
Co1 0.0000 0.5000 0.5000
Co2 0.5000 0.0000 0.5000
Pd1 0.5000 0.5000 0.0000
```

Record 3
First-principles (PBE) data for crystalline NpCoPd2 at its relaxed geometry, as listed in Alexandria via LeMat-Bulk.

Computed properties:
**Calculated total energy**: -31.270 eV per formula unit
**Space-group type**: P4/mmm, No. 123

Structure (CIF):
```
data_NpCoPd2
_space_group_name_H-M_alt 'P 1'
_space_group_IT_number 1
_space_group_name_Hall 'P 1'
_cell_length_a 3.9368
_cell_length_b 3.9368
_cell_length_c 4.2341
_cell_angle_alpha 90.00
_cell_angle_beta 90.00
_cell_angle_gamma 90.00
loop_
_atom_site_label
_atom_site_fract_x
_atom_site_fract_y
_atom_site_fract_z
Np1 0.0000 0.0000 0.0000
Co1 0.5000 0.5000 0.0000
Pd1 0.0000 0.5000 0.5000
Pd2 0.5000 0.0000 0.5000
```

Record 4
First-principles (PBE) data for crystalline NpCo4Pd at its relaxed geometry, as listed in Alexandria via LeMat-Bulk.

Computed properties:
**Calculated total energy**: -46.933 eV per formula unit
**Space-group type**: F-43m, No. 216

Structure (CIF):
```
data_NpCo4Pd
_space_group_name_H-M_alt 'P 1'
_space_group_IT_number 1
_space_group_name_Hall 'P 1'
_cell_length_a 4.8880
_cell_length_b 4.8880
_cell_length_c 4.8880
_cell_angle_alpha 60.00
_cell_angle_beta 60.00
_cell_angle_gamma 60.00
loop_
_atom_site_label
_atom_site_fract_x
_atom_site_fract_y
_atom_site_fract_z
Np1 0.0000 0.0000 0.0000
Co1 0.1267 0.6244 0.6244
Co2 0.6244 0.1267 0.6244
Co3 0.6244 0.6244 0.1267
Co4 0.6244 0.6244 0.6244
Pd1 0.2500 0.2500 0.2500
```

Record 5
First-principles (PBE) data for crystalline PmNpCo10 at its relaxed geometry, as listed in Alexandria via LeMat-Bulk.

Computed properties:
**Calculated total energy**: -89.320 eV per formula unit
**Space-group type**: Pmmm, No. 47

Structure (CIF):
```
data_PmNpCo10
_space_group_name_H-M_alt 'P 1'
_space_group_IT_number 1
_space_group_name_Hall 'P 1'
_cell_length_a 3.9888
_cell_length_b 4.9168
_cell_length_c 8.4460
_cell_angle_alpha 90.00
_cell_angle_beta 90.00
_cell_angle_gamma 90.00
loop_
_atom_site_label
_atom_site_fract_x
_atom_site_fract_y
_atom_site_fract_z
Pm1 0.0000 0.0000 0.0000
Np1 0.0000 0.5000 0.5000
Co1 0.0000 0.0000 0.3461
Co2 0.0000 0.0000 0.6539
Co3 0.0000 0.5000 0.1917
Co4 0.0000 0.5000 0.8083
Co5 0.5000 0.0000 0.5000
Co6 0.5000 0.2498 0.2534
Co7 0.5000 0.2498 0.7466
Co8 0.5000 0.5000 0.0000
Co9 0.5000 0.7502 0.2534
Co10 0.5000 0.7502 0.7466
```

Record 6
First-principles (PBE) data for crystalline PmNpCo4 at its relaxed geometry, as listed in Alexandria via LeMat-Bulk.

Computed properties:
**Calculated total energy**: -46.304 eV per formula unit
**Space-group type**: F-43m, No. 216

Structure (CIF):
```
data_PmNpCo4
_space_group_name_H-M_alt 'P 1'
_space_group_IT_number 1
_space_group_name_Hall 'P 1'
_cell_length_a 5.0589
_cell_length_b 5.0589
_cell_length_c 5.0589
_cell_angle_alpha 60.00
_cell_angle_beta 60.00
_cell_angle_gamma 60.00
loop_
_atom_site_label
_atom_site_fract_x
_atom_site_fract_y
_atom_site_fract_z
Pm1 0.0000 0.0000 0.0000
Np1 0.7500 0.7500 0.7500
Co1 0.3762 0.3762 0.3762
Co2 0.3762 0.3762 0.8715
Co3 0.3762 0.8715 0.3762
Co4 0.8715 0.3762 0.3762
```

Record 7
First-principles (PBE) data for crystalline PmNpCo2 at its relaxed geometry, as listed in Alexandria via LeMat-Bulk.

Computed properties:
**Calculated total energy**: -32.192 eV per formula unit
**Space-group type**: R-3m, No. 166

Structure (CIF):
```
data_PmNpCo2
_space_group_name_H-M_alt 'P 1'
_space_group_IT_number 1
_space_group_name_Hall 'P 1'
_cell_length_a 4.1864
_cell_length_b 4.1864
_cell_length_c 15.5164
_cell_angle_alpha 90.00
_cell_angle_beta 90.00
_cell_angle_gamma 120.00
loop_
_atom_site_label
_atom_site_fract_x
_atom_site_fract_y
_atom_site_fract_z
Pm1 0.0000 0.0000 0.0000
Pm2 0.3333 0.6667 0.6667
Pm3 0.6667 0.3333 0.3333
Np1 0.0000 0.0000 0.5000
Np2 0.3333 0.6667 0.1667
Np3 0.6667 0.3333 0.8333
Co1 0.0000 0.0000 0.2043
Co2 0.0000 0.0000 0.7957
Co3 0.3333 0.6667 0.4624
Co4 0.3333 0.6667 0.8709
Co5 0.6667 0.3333 0.1291
Co6 0.6667 0.3333 0.5376
```

Record 8
First-principles (PBE) data for crystalline Pm4NpCo5 at its relaxed geometry, as listed in Alexandria via LeMat-Bulk.

Computed properties:
**Calculated total energy**: -67.122 eV per formula unit
**Space-group type**: I4mm, No. 107

Structure (CIF):
```
data_Pm4NpCo5
_space_group_name_H-M_alt 'P 1'
_space_group_IT_number 1
_space_group_name_Hall 'P 1'
_cell_length_a 6.9301
_cell_length_b 6.9301
_cell_length_c 6.9301
_cell_angle_alpha 97.13
_cell_angle_beta 97.13
_cell_angle_gamma 138.76
loop_
_atom_site_label
_atom_site_fract_x
_atom_site_fract_y
_atom_site_fract_z
Pm1 0.0000 0.2904 0.2904
Pm2 0.0000 0.7096 0.7096
Pm3 0.2904 0.0000 0.2904
Pm4 0.7096 0.0000 0.7096
Np1 0.3924 0.3924 0.0000
Co1 0.3388 0.3388 0.6595
Co2 0.3388 0.6793 0.0000
Co3 0.6793 0.3388 0.0000
Co4 0.6793 0.6793 0.3405
Co5 0.8843 0.8843 0.0000
```

Record-wise magnetization values, in Bohr magnetons per cell: 1.218; 1.469; 2.508; 2.530; 9.945; 0.146; 7.094; 0.002